Entry 1:
A crystal of RbWN2 relaxed with PBEsol, computed with SCAN.

Output
Offset from the most stable computed form ... 246.5 kJ per mole of atoms
Energy relative to the elements, uncorrected ... 194.4 kJ/mol of atoms

abc: 5.7537 5.7537 5.7537
angles: 90.00 90.00 90.00
Closest atoms and distances in Å follow each position.
Space group Fm-3m (No. 225)
Symmetry-distinct sites (fractional):
Rb1 0.0000 0.0000 0.0000  8 N 2.49
W1 0.0000 0.0000 0.5000  8 N 2.49
N1 0.2500 0.2500 0.2500  4 W 2.49, 4 Rb 2.49

***

Entry 2:
A crystal of Zn3CuS relaxed with PBEsol, computed with SCAN.

Output
Energy relative to the elements, uncorrected ... 70.6 kJ/mol of atoms

abc: 4.5920 4.5920 4.5920
angles: 90.00 90.00 90.00
Closest atoms and distances in Å follow each position.
Space group Pm-3m (No. 221)
Symmetry-distinct sites (fractional):
Zn1 0.0000 0.0000 0.5000  2 S 2.30
Cu1 0.5000 0.5000 0.5000  12 Zn 3.25
S1 0.0000 0.0000 0.0000  6 Zn 2.30

***

Entry 3:
A crystal of TlTeRh2 relaxed with PBEsol, computed with SCAN.

Output
Offset from the most stable computed form ... 3.2 kJ per mole of atoms
Energy relative to the elements, uncorrected ... 4.0 kJ/mol of atoms

abc: 8.1923 3.2514 5.7046
angles: 90.00 103.35 90.00
Closest atoms and distances in Å follow each position.
Space group C2/m (No. 12)
Symmetry-distinct sites (fractional):
Tl1 0.0000 0.0000 0.0000  6 Rh 2.82-2.86
Te1 0.0000 0.5000 0.5000  6 Rh 2.65-2.67
Rh1 0.2477 0.0000 0.7193  3 Te 2.65-2.67, 3 Tl 2.82-2.86

***

Entry 4:
A crystal of NiAs2Se relaxed with PBEsol, computed with SCAN.

Output
Energy relative to the elements, uncorrected ... 15.4 kJ/mol of atoms

abc: 2.8373 4.4586 10.6382
angles: 90.00 90.00 90.00
Closest atoms and distances in Å follow each position.
Space group Immm (No. 71)
Symmetry-distinct sites (fractional):
Ni1 0.0000 0.0000 0.0000  4 As 2.45, 4 Se 2.64
As1 0.0000 0.5000 0.3119  2 Ni 2.45
Se1 0.0000 0.0000 0.5000  4 Ni 2.64, 2 Se 2.84

***

Entry 5:
A crystal of FeCuPdO2 relaxed with PBEsol, computed with SCAN.

Output
Energy relative to the elements, uncorrected ... -20.1 kJ/mol of atoms

abc: 3.4945 3.4945 4.7644
angles: 90.00 90.00 90.00
Closest atoms and distances in Å follow each position.
Space group P4/mmm (No. 123)
Symmetry-distinct sites (fractional):
Fe1 0.0000 0.0000 0.0000  4 O 1.75
Cu1 0.0000 0.0000 0.5000  2 Fe 2.38, 4 Pd 2.47
Pd1 0.5000 0.5000 0.5000  4 Cu 2.47
O1 0.0000 0.5000 0.0000  2 Fe 1.75

***

Entry 6:
A crystal of NiAs3Pt relaxed with PBEsol, computed with SCAN.

Output
Energy relative to the elements ... 0.538 eV per atom

abc: 4.4634 4.4634 4.4634
angles: 90.00 90.00 90.00
Closest atoms and distances in Å follow each position.
Space group Pm-3m (No. 221)
Symmetry-distinct sites (fractional):
Ni1 0.0000 0.0000 0.0000  6 As 2.23
As1 0.0000 0.0000 0.5000  2 Ni 2.23
Pt1 0.5000 0.5000 0.5000  12 As 3.16

***

Number 1: total moment 0.99 μB per formula unit. Number 2: total moment 0.00 μB per formula unit. Number 3: total moment 0.00 μB per formula unit. Number 4: total moment 0.00 μB per formula unit. Number 5: total moment 3.04 μB per formula unit. Number 6: total moment 0.00 μB per formula unit.